(1)
Here is an optimized crystal structure of Sr4ZnPb3 from Alexandria via LeMat-Bulk. Energies are from GGA-PBE.

Calculated values
Density of states at the Fermi level   0.79 states/eV per atom
E_form   -0.438 eV per atom
Size of the total moment   0.00 μB per cell

a = 5.7676 Å, b = 5.7676 Å, c = 10.0099 Å
α = 73.26°, β = 73.26°, γ = 60.00°
Closest atoms and distances in Å follow each position.
Fractional positions:
Sr  0.6268  0.6268  0.1196  5 Pb 3.46-3.59, 3 Zn 3.52
Sr  0.8773  0.8773  0.3681  1 Zn 3.47, 7 Pb 3.52-3.64
Sr  0.1227  0.1227  0.6319  1 Zn 3.47, 7 Pb 3.52-3.64
Sr  0.3732  0.3732  0.8804  5 Pb 3.46-3.59, 3 Zn 3.52
Pb  0.7489  0.7489  0.7533  8 Sr 3.46-3.64
Pb  0.2511  0.2511  0.2467  8 Sr 3.46-3.64
Pb  0.5000  0.5000  0.5000  8 Sr 3.56-3.59
Zn  0.0000  0.0000  0.0000  8 Sr 3.47-3.52


(2)
Here is an optimized crystal structure of Cs3U2Br9 from Alexandria via LeMat-Bulk. Energies are from GGA-PBE.

Calculated values
Energy relative to the elements, uncorrected   -2071 kJ/mol of formula units
Density of states at the Fermi level   1.00 states/eV per atom
Size of the total moment   12.00 μB per cell

a = 10.5399 Å, b = 10.5399 Å, c = 10.5399 Å
α = 84.31°, β = 84.31°, γ = 84.31°
Closest atoms and distances in Å follow each position.
Fractional positions:
Br  0.7500  0.5847  0.9153  2 U 2.95
Br  0.9181  0.2662  0.0842  1 U 2.83
Br  0.4181  0.5842  0.7662  1 U 2.83
Br  0.4158  0.2338  0.5819  1 U 2.83
Br  0.2500  0.4153  0.0847  2 U 2.95
Br  0.2662  0.0842  0.9181  1 U 2.83
Br  0.5842  0.7662  0.4181  1 U 2.83
Br  0.9158  0.0819  0.7338  1 U 2.83
Br  0.0842  0.9181  0.2662  1 U 2.83
Br  0.5819  0.4158  0.2338  1 U 2.83
Br  0.5847  0.9153  0.7500  2 U 2.95
Br  0.7662  0.4181  0.5842  1 U 2.83
Br  0.2338  0.5819  0.4158  1 U 2.83
Br  0.4153  0.0847  0.2500  2 U 2.95
Br  0.9153  0.7500  0.5847  2 U 2.95
Br  0.7338  0.9158  0.0819  1 U 2.83
Br  0.0847  0.2500  0.4153  2 U 2.95
Br  0.0819  0.7338  0.9158  1 U 2.83
Cs  0.9063  0.5937  0.2500  12 Br 4.01-4.21
Cs  0.4063  0.7500  0.0937  12 Br 4.01-4.21
Cs  0.2500  0.9063  0.5937  12 Br 4.01-4.21
Cs  0.7500  0.0937  0.4063  12 Br 4.01-4.21
Cs  0.0937  0.4063  0.7500  12 Br 4.01-4.21
Cs  0.5937  0.2500  0.9063  12 Br 4.01-4.21
U  0.8403  0.8403  0.8403  6 Br 2.83-2.95
U  0.6597  0.6597  0.6597  6 Br 2.83-2.95
U  0.1597  0.1597  0.1597  6 Br 2.83-2.95
U  0.3403  0.3403  0.3403  6 Br 2.83-2.95


(3)
Here is an optimized crystal structure of SmGe3 from Alexandria via LeMat-Bulk. Energies are from GGA-PBE.

Calculated values
Density of states at the Fermi level   0.46 states/eV per atom
E_form   -0.175 eV per atom
Size of the total moment   0.00 μB per cell

a = 4.1258 Å, b = 4.1258 Å, c = 6.3318 Å
α = 109.01°, β = 109.01°, γ = 90.00°
Closest atoms and distances in Å follow each position.
Fractional positions:
Sm  0.0000  0.0000  0.0000  6 Ge 2.92-3.14
Ge  0.7207  0.7207  0.4414  1 Ge 2.48
Ge  0.2793  0.2793  0.5586  1 Ge 2.48
Ge  0.5000  0.5000  0.0000  2 Ge 2.48